Below is crystalline CeTh2Fe2 at its relaxed geometry, with properties calculated at the GGA-PBE level.

ρ in Mg/m³: 10.68
E_form in eV per atom: -0.067
Symmetry: C2/c
DOS(E_F) in states/eV per atom: 1.262

a = 6.0404 Å, b = 6.0404 Å, c = 7.0652 Å
α = 83.36°, β = 83.36°, γ = 60.67°
Last column: nearest neighbours and their distance in Å.
Sites, in units of the cell vectors:
Th  0.4486  0.2414  0.1551  2 Fe 2.61-2.86
Ce  0.0884  0.9116  0.2500  2 Fe 2.37
Fe  0.2813  0.0489  0.4488  1 Ce 2.37, 1 Fe 2.58, 1 Th 2.61
Fe  0.0489  0.2813  0.9488  1 Ce 2.37, 1 Fe 2.58, 1 Th 2.61
Fe  0.7187  0.9511  0.5512  1 Ce 2.37, 1 Fe 2.58, 1 Th 2.61
Th  0.2414  0.4486  0.6551  2 Fe 2.61-2.86
Fe  0.9511  0.7187  0.0512  1 Ce 2.37, 1 Fe 2.58, 1 Th 2.61
Th  0.5514  0.7586  0.8449  2 Fe 2.61-2.86
Th  0.7586  0.5514  0.3449  2 Fe 2.61-2.86
Ce  0.9116  0.0884  0.7500  2 Fe 2.37

Below is crystalline Ce2ThFe9 at its relaxed geometry, with properties calculated at the GGA-PBE level.

ρ in Mg/m³: 9.12
E_form in eV per atom: -0.067
Symmetry: R-3m
DOS(E_F) in states/eV per atom: 1.319

a = 5.0649 Å, b = 5.0649 Å, c = 8.8122 Å
α = 73.30°, β = 73.30°, γ = 60.00°
Last column: nearest neighbours and their distance in Å.
Sites, in units of the cell vectors:
Fe  0.5810  0.5810  0.7546  7 Fe 2.50-2.57
Fe  0.4190  0.9165  0.2454  7 Fe 2.50-2.57
Ce  0.1436  0.1436  0.5691  12 Fe 2.96-3.07, 3 Ce 3.14
Fe  0.4190  0.4190  0.2454  7 Fe 2.50-2.57
Ce  0.8564  0.8564  0.4309  12 Fe 2.96-3.07, 3 Ce 3.14
Th  0.0000  0.0000  0.0000  18 Fe 2.92-3.25
Fe  0.0835  0.5810  0.7546  7 Fe 2.50-2.57
Fe  0.9165  0.4190  0.2454  7 Fe 2.50-2.57
Fe  0.6674  0.6674  0.9978  6 Fe 2.50-2.52
Fe  0.5000  0.5000  0.5000  6 Fe 2.57
Fe  0.5810  0.0835  0.7546  7 Fe 2.50-2.57
Fe  0.3326  0.3326  0.0022  6 Fe 2.50-2.52

Below is crystalline CeTh3Fe at its relaxed geometry, with properties calculated at the GGA-PBE level.

ρ in Mg/m³: 9.90
E_form in eV per atom: 0.117
Symmetry: Pm-3m
DOS(E_F) in states/eV per atom: 2.553

a = 5.3092 Å, b = 5.3092 Å, c = 5.3092 Å
α = 90.00°, β = 90.00°, γ = 90.00°
Last column: nearest neighbours and their distance in Å.
Sites, in units of the cell vectors:
Fe  0.0000  0.0000  0.0000  6 Th 2.65
Th  0.5000  0.0000  0.0000  2 Fe 2.65
Th  0.0000  0.5000  0.0000  2 Fe 2.65
Th  0.0000  0.0000  0.5000  2 Fe 2.65
Ce  0.5000  0.5000  0.5000  12 Th 3.75

Below is crystalline CeThFe4 at its relaxed geometry, with properties calculated at the GGA-PBE level.

ρ in Mg/m³: 10.13
E_form in eV per atom: -0.067
Symmetry: F-43m
DOS(E_F) in states/eV per atom: 1.626

a = 5.1692 Å, b = 5.1692 Å, c = 5.1692 Å
α = 60.00°, β = 60.00°, γ = 60.00°
Last column: nearest neighbours and their distance in Å.
Sites, in units of the cell vectors:
Fe  0.6248  0.1255  0.6248  6 Fe 2.58-2.59
Ce  0.2500  0.2500  0.2500  12 Fe 3.03, 4 Th 3.17
Fe  0.1255  0.6248  0.6248  6 Fe 2.58-2.59
Fe  0.6248  0.6248  0.1255  6 Fe 2.58-2.59
Th  0.0000  0.0000  0.0000  12 Fe 3.03, 4 Ce 3.17
Fe  0.6248  0.6248  0.6248  6 Fe 2.58-2.59